No. 1
Entry from the Alexandria database: a relaxed Zr3ScIr2 crystal (PBE).

Unit cell a=6.500 b=6.607 c=7.903 alpha=114.71 beta=114.28 gamma=90.00
Sites, in units of the cell vectors:
Zr 0.500 0.250 0.000
Zr 0.500 0.750 0.000
Zr 0.764 0.014 0.527
Zr 0.236 0.486 0.473
Zr 0.236 0.986 0.473
Zr 0.764 0.514 0.527
Sc 0.000 0.500 0.000
Sc 0.000 0.000 0.000
Ir 0.573 0.361 0.722
Ir 0.851 0.139 0.278
Ir 0.149 0.861 0.722
Ir 0.427 0.639 0.278

Output
relative energy among the computed polymorphs: 174.0 meV/atom
N(E_F): 6.26 states/eV/f.u.
E_form: -3.229 eV/f.u.

---

No. 2
Entry from the Alexandria database: a relaxed ZrSc4Ir crystal (PBE).

Unit cell a=5.617 b=5.617 c=5.617 alpha=60.00 beta=60.00 gamma=60.00
Sites, in units of the cell vectors:
Zr 0.750 0.750 0.750
Sc 0.875 0.375 0.375
Sc 0.375 0.375 0.875
Sc 0.375 0.875 0.375
Sc 0.375 0.375 0.375
Ir 0.000 0.000 0.000

Output
relative energy among the computed polymorphs: 503.6 meV/atom
N(E_F): 10.40 states/eV/f.u.
E_form: 1.776 eV/f.u.

---

No. 3
Entry from the Alexandria database: a relaxed ZrSc2Ir crystal (PBE).

Unit cell a=5.795 b=5.795 c=4.834 alpha=65.35 beta=65.35 gamma=33.86
Sites, in units of the cell vectors:
Sc 0.963 0.963 0.037
Sc 0.752 0.752 0.748
Ir 0.249 0.249 0.251
Zr 0.537 0.537 0.463

Output
relative energy among the computed polymorphs: 7.9 meV/atom
N(E_F): 3.20 states/eV/f.u.
E_form: -2.139 eV/f.u.

---

No. 4
Entry from the Alexandria database: a relaxed Zr2ScIr crystal (PBE).

Unit cell a=7.919 b=7.919 c=6.299 alpha=51.05 beta=51.05 gamma=90.00
Sites, in units of the cell vectors:
Sc 0.500 0.500 0.000
Sc 0.250 0.750 0.500
Ir 0.000 0.000 0.000
Ir 0.750 0.250 0.500
Zr 0.681 0.125 0.250
Zr 0.069 0.625 0.250
Zr 0.375 0.319 0.750
Zr 0.875 0.931 0.750

Output
relative energy among the computed polymorphs: 284.8 meV/atom
N(E_F): 3.80 states/eV/f.u.
E_form: -0.819 eV/f.u.